A PBEsol-optimized structure of Tc2PRu. Source: Alexandria via LeMat-Bulk, functional meta-GGA SCAN.

Values from the calculation:
energy of formation	-0.258	eV/atom
E	-29.094	eV/atom
symmetry	P4/mmm

a b c (Å): 2.8337 2.8337 6.4364
angles (deg): 90.00 90.00 90.00
Positions (direct):
Tc: 0.0000 0.0000 0.2202
Tc: 0.0000 0.0000 0.7798
P: 0.5000 0.5000 0.0000
Ru: 0.5000 0.5000 0.5000